{
  "formula": "FeCuPO2",
  "functional": "PBE+U",
  "state": "optimized geometry",
  "lattice": [[3.599, 0.000, 0.000], [0.000, 3.599, 0.000], [0.000, 0.000, 5.347]],
  "species": ["Fe", "Cu", "P", "O", "O"],
  "fractional_positions": [[0.000, 0.000, 0.000], [0.500, 0.500, 0.500], [0.000, 0.000, 0.500], [0.000, 0.500, 0.000], [0.500, 0.000, 0.000]],
  "energy_ev_per_fu": -25.3,
  "e_above_lowest_polymorph_ev_per_atom": 0.0000,
  "m_tot_mub_per_cell": 3.80
}